1.
A plane-wave DFT calculation with GGA-PBE was carried out for a geometry-optimized AcTbCoRh structure.

Properties
The calculated density is 10.2 Mg/m³. The calculation puts the formation energy at -258 meV per atom. Its crystal system is cubic.

Cell lengths 5.0206, 5.0206, 5.0206 Å; angles 60.00, 60.00, 60.00 degrees
Atoms (fractional coordinates):
1 Rh 0.5000 0.5000 0.5000
2 Ac 0.2500 0.2500 0.2500
3 Tb 0.7500 0.7500 0.7500
4 Co 0.0000 0.0000 0.0000

=====

2.
A plane-wave DFT calculation with GGA-PBE was carried out for a geometry-optimized Sc2MnAl structure.

Properties
The calculated density is 3.8 Mg/m³. The calculation puts the formation energy at -142 meV per atom. Its crystal system is tetragonal.

Cell lengths 3.0804, 3.0804, 7.9414 Å; angles 90.00, 90.00, 90.00 degrees
Atoms (fractional coordinates):
1 Sc 0.0000 0.0000 0.9498
2 Sc 0.5000 0.5000 0.2845
3 Mn 0.5000 0.5000 0.7263
4 Al 0.0000 0.0000 0.5394

=====

3.
A plane-wave DFT calculation with GGA-PBE was carried out for a geometry-optimized ZnBrO4 structure.

Properties
The calculated density is 4.2 Mg/m³. For the uncorrected formation energy, the calculation gives -0.039 eV per atom. Its crystal system is monoclinic.

Cell lengths 5.3744, 5.3744, 6.5990 Å; angles 89.23, 89.23, 61.36 degrees
Atoms (fractional coordinates):
1 Zn 0.5000 0.0000 0.5000
2 Zn 0.0000 0.5000 0.0000
3 Br 0.0723 0.9277 0.2500
4 Br 0.9277 0.0723 0.7500
5 O 0.1789 0.2197 0.7180
6 O 0.2880 0.7602 0.4506
7 O 0.7120 0.2398 0.5494
8 O 0.2197 0.1789 0.2180
9 O 0.7803 0.8211 0.7820
10 O 0.2398 0.7120 0.0494
11 O 0.7602 0.2880 0.9506
12 O 0.8211 0.7803 0.2820